# 1
{"formula": "NdSm6Sc2", "functional": "PBE-GGA", "state": "optimized geometry", "dft_energy_ev_per_cell": -40.98, "spacegroup": "No. 121", "e_form_ev_per_atom": 0.530, "polymorph_energy_mev_per_atom": 344, "total_magnetization_mub_per_fu": 0.0, "lattice_angstrom": [[-3.1078, 3.1078, 8.0647], [3.1078, -3.1078, 8.0647], [3.1078, 3.1078, -8.0647]], "species": ["Nd", "Sm", "Sm", "Sm", "Sm", "Sm", "Sm", "Sc", "Sc"], "fractional_positions": [[0.0000, 0.0000, 0.0000], [0.2344, 0.5846, 0.0000], [0.2500, 0.7500, 0.5000], [0.4154, 0.4154, 0.6498], [0.5846, 0.2344, 0.0000], [0.7500, 0.2500, 0.5000], [0.7656, 0.7656, 0.3502], [0.2030, 0.2030, 0.0000], [0.7970, 0.7970, 0.0000]]}

***

# 2
{"formula": "Nd5SmSc2", "functional": "PBE-GGA", "state": "optimized geometry", "dft_energy_ev_per_cell": -81.88, "spacegroup": "No. 55", "e_form_ev_per_atom": 0.035, "polymorph_energy_mev_per_atom": 0, "total_magnetization_mub_per_fu": 0.0, "lattice_angstrom": [[7.1295, 0.0000, 0.0000], [0.0000, 14.2597, 0.0000], [0.0000, 0.0000, 5.0408]], "species": ["Nd", "Nd", "Nd", "Nd", "Nd", "Nd", "Nd", "Nd", "Nd", "Nd", "Sm", "Sm", "Sc", "Sc", "Sc", "Sc"], "fractional_positions": [[0.0000, 0.0000, 0.0000], [0.0010, 0.2505, 0.0000], [0.2488, 0.6244, 0.5000], [0.2512, 0.1244, 0.5000], [0.4990, 0.7505, 0.0000], [0.5000, 0.5000, 0.0000], [0.5010, 0.2495, 0.0000], [0.7488, 0.8756, 0.5000], [0.7512, 0.3756, 0.5000], [0.9990, 0.7495, 0.0000], [0.0000, 0.5000, 0.0000], [0.5000, 0.0000, 0.0000], [0.2503, 0.3753, 0.5000], [0.2497, 0.8753, 0.5000], [0.7503, 0.1247, 0.5000], [0.7497, 0.6247, 0.5000]]}

***

# 3
{"formula": "Nd2Sm2Sc", "functional": "PBE-GGA", "state": "optimized geometry", "dft_energy_ev_per_cell": -49.26, "spacegroup": "No. 15", "e_form_ev_per_atom": 0.135, "polymorph_energy_mev_per_atom": 0, "total_magnetization_mub_per_fu": 0.0, "lattice_angstrom": [[4.6705, -4.3260, 0.0000], [4.6705, 4.3260, 0.0000], [-4.5424, 0.0000, 8.1082]], "species": ["Nd", "Nd", "Nd", "Nd", "Sm", "Sm", "Sm", "Sm", "Sc", "Sc"], "fractional_positions": [[0.1344, 0.2803, 0.3438], [0.2803, 0.1344, 0.8438], [0.7197, 0.8656, 0.1562], [0.8656, 0.7197, 0.6562], [0.1793, 0.7376, 0.0440], [0.2624, 0.8207, 0.4560], [0.7376, 0.1793, 0.5440], [0.8207, 0.2624, 0.9560], [0.4279, 0.5721, 0.7500], [0.5721, 0.4279, 0.2500]]}